Record 1
Compound: MoRu2Br
Source: the Alexandria database
Functional: PBE-GGA
Structure: optimized geometry

abc: 2.9214 4.6898 4.4964
angles: 90.00 90.00 90.00
Sites, in units of the cell vectors:
Ru 0.0000 0.0000 0.0000
Ru 0.5000 0.5000 0.0000
Mo 0.0000 0.5000 0.5000
Br 0.5000 0.0000 0.5000

Results
crystal system = orthorhombic
calculated volume = 15.401 Å³/atom
symmetry = Pmmm
relative energy among the computed polymorphs = 27.9 kJ per mole of atoms


Record 2
Compound: MoRuBr2
Source: the Alexandria database
Functional: PBE-GGA
Structure: optimized geometry

abc: 7.6193 7.6193 4.1602
angles: 83.85 83.85 24.44
Sites, in units of the cell vectors:
Ru 0.7500 0.7500 0.7500
Mo 0.2500 0.2500 0.2500
Br 0.8895 0.8895 0.0436
Br 0.6105 0.6105 0.4564

Results
crystal system = monoclinic
calculated volume = 24.828 Å³/atom
symmetry = C2/m
relative energy among the computed polymorphs = 29.5 kJ per mole of atoms


Which value of calculated volume does entry 1 give?
15.401 Å³/atom


What is the relative energy among the computed polymorphs in the first record?
27.9 kJ per mole of atoms


Copy entry 1 word for word.
Compound: MoRu2Br
Source: the Alexandria database
Functional: PBE-GGA
Structure: optimized geometry

abc: 2.9214 4.6898 4.4964
angles: 90.00 90.00 90.00
Sites, in units of the cell vectors:
Ru 0.0000 0.0000 0.0000
Ru 0.5000 0.5000 0.0000
Mo 0.0000 0.5000 0.5000
Br 0.5000 0.0000 0.5000

Results
crystal system = orthorhombic
calculated volume = 15.401 Å³/atom
symmetry = Pmmm
relative energy among the computed polymorphs = 27.9 kJ per mole of atoms